Compound: Be2HgAu
Source: the Alexandria database
Functional: PBE-GGA
Structure: relaxed

The structure in CIF format:
```
data_Be2HgAu
_chemical_formula_sum 'Be8 Hg4 Au4'
_symmetry_space_group_name_H-M 'F -4 3 m'
_symmetry_Int_Tables_number 216
_symmetry_space_group_name_Hall 'F -4 2 3'
_cell_length_a 6.227
_cell_length_b 6.227
_cell_length_c 6.227
_cell_angle_alpha 90.00
_cell_angle_beta 90.00
_cell_angle_gamma 90.00
loop_
_atom_site_label
_atom_site_fract_x
_atom_site_fract_y
_atom_site_fract_z
Be1 0.000 0.000 0.000
Be2 0.250 0.250 0.250
Hg1 0.000 0.000 0.500
Au1 0.250 0.250 0.750
```

Properties
The calculation puts the spin magnetization at 0.00 μB per formula unit. As for the density of states at the Fermi level: 3.578 states/eV per cell. The formation energy from the elements is 0.483 eV/atom.